No. 1
K2AsW at its PBEsol-relaxed geometry, computed with meta-GGA SCAN.

## Properties
E = -104.512 eV/cell
Energy of formation = 506 meV per atom

Lattice parameters (Å, degrees): 3.425 3.425 10.195 90.00 90.00 90.00
Space group P4mm (No. 99)
One atom of each set of equivalent atoms:
K  0.000  0.000  0.000 (multiplicity 1)
K  0.500  0.500  0.417 (multiplicity 1)
As  0.500  0.500  0.746 (multiplicity 1)
W  0.000  0.000  0.675 (multiplicity 1)

No. 2
KZnAs2W at its PBEsol-relaxed geometry, computed with meta-GGA SCAN.

## Properties
E = -118.524 eV/cell
Energy of formation = 2678 meV per atom

Lattice parameters (Å, degrees): 5.222 5.222 5.399 90.00 90.00 90.00
Space group P4/mmm (No. 123)
One atom of each set of equivalent atoms:
K  0.000  0.000  0.000 (multiplicity 1)
Zn  0.500  0.500  0.500 (multiplicity 1)
As  0.000  0.500  0.000 (multiplicity 2)
W  0.000  0.000  0.500 (multiplicity 1)

No. 3
K2YAs at its PBEsol-relaxed geometry, computed with meta-GGA SCAN.

## Properties
E = -66.879 eV/cell
Energy of formation = -547 meV per atom

Lattice parameters (Å, degrees): 3.957 3.957 10.759 90.00 90.00 90.00
Space group P4mm (No. 99)
One atom of each set of equivalent atoms:
K  0.000  0.000  0.000 (multiplicity 1)
K  0.500  0.500  0.361 (multiplicity 1)
Y  0.000  0.000  0.661 (multiplicity 1)
As  0.500  0.500  0.697 (multiplicity 1)

No. 4
KZn2As at its PBEsol-relaxed geometry, computed with meta-GGA SCAN.

## Properties
E = -54.268 eV/cell
Energy of formation = 320 meV per atom

Lattice parameters (Å, degrees): 3.416 4.832 5.167 90.00 90.00 90.00
Space group Pmmm (No. 47)
One atom of each set of equivalent atoms:
K  0.000  0.000  0.000 (multiplicity 1)
Zn  0.000  0.500  0.500 (multiplicity 1)
Zn  0.500  0.500  0.000 (multiplicity 1)
As  0.500  0.000  0.500 (multiplicity 1)

No. 5
KZnAs2 at its PBEsol-relaxed geometry, computed with meta-GGA SCAN.

## Properties
E = -122.200 eV/cell
Energy of formation = 281 meV per atom

Lattice parameters (Å, degrees): 4.401 4.401 8.717 90.00 90.00 90.00
Space group I-4m2 (No. 119)
One atom of each set of equivalent atoms:
K  0.000  0.000  0.000 (multiplicity 2)
Zn  0.000  0.500  0.250 (multiplicity 2)
As  0.000  0.000  0.500 (multiplicity 2)
As  0.000  0.500  0.750 (multiplicity 2)

No. 6
K4ZnAs2 at its PBEsol-relaxed geometry, computed with meta-GGA SCAN.

## Properties
E = -273.470 eV/cell
Energy of formation = -564 meV per atom

Lattice parameters (Å, degrees): 5.6791 5.6791 26.6915 90.00 90.00 120.00
Space group R-3m (No. 166, hexagonal axes)
One atom of each set of equivalent atoms:
K  0.0000  0.0000  0.1163 (multiplicity 6)
K  0.0000  0.0000  0.2913 (multiplicity 6)
Zn  0.0000  0.0000  0.5000 (multiplicity 3)
As  0.0000  0.0000  0.4142 (multiplicity 6)

No. 7
KZnAs2 at its PBEsol-relaxed geometry, computed with meta-GGA SCAN.

## Properties
E = -63.027 eV/cell
Energy of formation = -200 meV per atom

Lattice parameters (Å, degrees): 4.077 3.639 6.668 90.00 99.87 90.00
Space group P2/m (No. 10)
One atom of each set of equivalent atoms:
K  0.000  0.000  0.000 (multiplicity 1)
Zn  0.000  0.000  0.500 (multiplicity 1)
As  0.399  0.500  0.659 (multiplicity 2)

No. 8
KZnAs2 at its PBEsol-relaxed geometry, computed with meta-GGA SCAN.

## Properties
E = -186.383 eV/cell
Energy of formation = 24 meV per atom

Lattice parameters (Å, degrees): 3.3312 3.3312 26.7428 90.00 90.00 120.00
Space group R-3m (No. 166, hexagonal axes)
One atom of each set of equivalent atoms:
K  0.0000  0.0000  0.0000 (multiplicity 3)
Zn  0.0000  0.0000  0.5000 (multiplicity 3)
As  0.0000  0.0000  0.2336 (multiplicity 6)

No. 9
KZn2As at its PBEsol-relaxed geometry, computed with meta-GGA SCAN.

## Properties
E = -108.352 eV/cell
Energy of formation = 343 meV per atom

Lattice parameters (Å, degrees): 6.058 10.867 2.624 90.00 90.00 90.00
Space group Cmmm (No. 65)
One atom of each set of equivalent atoms:
K  0.000  0.000  0.000 (multiplicity 2)
Zn  0.250  0.250  0.500 (multiplicity 4)
As  0.000  0.500  0.000 (multiplicity 2)

No. 10
KZn2As at its PBEsol-relaxed geometry, computed with meta-GGA SCAN.

## Properties
E = -167.290 eV/cell
Energy of formation = -53 meV per atom

Lattice parameters (Å, degrees): 4.4933 4.4933 17.3319 90.00 90.00 120.00
Space group R-3m (No. 166, hexagonal axes)
One atom of each set of equivalent atoms:
K  0.0000  0.0000  0.0000 (multiplicity 3)
Zn  0.0000  0.0000  0.1997 (multiplicity 6)
As  0.0000  0.0000  0.5000 (multiplicity 3)

No. 11
KZnAs2 at its PBEsol-relaxed geometry, computed with meta-GGA SCAN.

## Properties
E = -61.410 eV/cell
Energy of formation = 204 meV per atom

Lattice parameters (Å, degrees): 4.360 4.360 4.342 90.00 90.00 90.00
Space group P4/mmm (No. 123)
One atom of each set of equivalent atoms:
K  0.000  0.000  0.000 (multiplicity 1)
Zn  0.500  0.500  0.000 (multiplicity 1)
As  0.000  0.500  0.500 (multiplicity 2)

No. 12
KZrAs2 at its PBEsol-relaxed geometry, computed with meta-GGA SCAN.

## Properties
Offset from the most stable computed form = 0 meV/atom
E = -82.488 eV/cell
Energy of formation = -770 meV per atom

Lattice parameters (Å, degrees): 2.932 3.688 8.180 90.00 90.00 90.00
Space group Pmmm (No. 47)
One atom of each set of equivalent atoms:
K  0.000  0.000  0.000 (multiplicity 1)
Zr  0.000  0.000  0.500 (multiplicity 1)
As  0.500  0.500  0.294 (multiplicity 2)